# 1
ZrCrIr | PBE-GGA | optimized geometry

a = 6.2227 Å, b = 6.2227 Å, c = 6.2227 Å
α = 90.00°, β = 90.00°, γ = 90.00°
Closest atoms and distances in Å follow each position.
Space group F-43m (No. 216)
Unique sites:
Zr 0.0000 0.0000 0.0000 [4 per cell]  4 Ir 2.69, 4 Cr 2.69
Cr 0.2500 0.2500 0.2500 [4 per cell]  4 Zr 2.69
Ir 0.2500 0.2500 0.7500 [4 per cell]  4 Zr 2.69

=====

# 2
Zr2CrIr | PBE-GGA | optimized geometry

a = 6.5414 Å, b = 6.5414 Å, c = 6.5414 Å
α = 90.00°, β = 90.00°, γ = 90.00°
Closest atoms and distances in Å follow each position.
Space group Fm-3m (No. 225)
Unique sites:
Zr 0.2500 0.2500 0.2500 [8 per cell]  4 Cr 2.83, 4 Ir 2.83
Cr 0.0000 0.0000 0.0000 [4 per cell]  8 Zr 2.83
Ir 0.0000 0.0000 0.5000 [4 per cell]  8 Zr 2.83

=====

# 3
ZrCrIr | PBE-GGA | optimized geometry

a = 6.2279 Å, b = 6.2279 Å, c = 6.2279 Å
α = 90.00°, β = 90.00°, γ = 90.00°
Closest atoms and distances in Å follow each position.
Space group F-43m (No. 216)
Unique sites:
Zr 0.0000 0.0000 0.0000 [4 per cell]  4 Ir 2.70
Cr 0.0000 0.0000 0.5000 [4 per cell]  4 Ir 2.70
Ir 0.2500 0.2500 0.7500 [4 per cell]  4 Cr 2.70, 4 Zr 2.70

=====

# 4
ZrCr2Ir | PBE-GGA | optimized geometry

a = 9.7516 Å, b = 3.0788 Å, c = 4.5074 Å
α = 90.00°, β = 117.42°, γ = 90.00°
Closest atoms and distances in Å follow each position.
Space group Cm (No. 8)
Unique sites:
Zr 0.0000 0.0000 0.0000 [2 per cell]  8 Cr 2.74-3.02, 4 Ir 2.78-3.02
Cr 0.2674 0.5000 0.2682 [2 per cell]  2 Cr 2.36
Cr 0.4740 0.0000 0.4737 [2 per cell]  2 Cr 2.36
Ir 0.2320 0.0000 0.7325 [2 per cell]  6 Cr 2.71-2.75, 4 Zr 2.78-3.02

=====

The mass density results, record by record, are as follows: 9.247, 10.125, 9.224, 10.711 Mg/m³.
The formation energy results, record by record, are as follows: 0.41, -0.38, 0.03, -0.02 eV per atom.